VASP calculation (PBE with a Hubbard U) on a relaxed V2N2F crystal.

Unit cell a=5.002 b=5.002 c=5.002 alpha=135.36 beta=135.36 gamma=64.98
Atoms (fractional coordinates):
V 0.250 0.750 0.500
V 0.750 0.250 0.500
N 0.187 0.187 0.000
N 0.813 0.813 0.000
F 0.500 0.500 0.000

Output
* SG: I4/mmm
* energy: -35.71 eV for the cell shown